Record 1
A plane-wave DFT calculation with PBE was carried out for a geometry-optimized NdHo6Al structure.

Cell: 6.857 12.056 6.815 Å, 90.00 119.08 90.00°
Space group C2/m (No. 12)
Symmetry-distinct sites (fractional):
Nd1 0.000 0.000 0.000 x2
Ho1 0.024 0.219 0.745 x8
Ho2 0.030 0.500 0.263 x4
Al1 0.000 0.000 0.500 x2

Energy: -4.24 eV per atom
Energy of formation from the pure elements: 0.25 eV per atom

***

Record 2
A plane-wave DFT calculation with PBE was carried out for a geometry-optimized NdHo2Al2 structure.

Cell: 3.657 5.224 13.646 Å, 90.00 97.70 90.00°
Space group P2_1/m (No. 11)
Symmetry-distinct sites (fractional):
Nd1 0.143 0.250 0.289 x2
Ho1 0.047 0.750 0.094 x2
Ho2 0.232 0.750 0.465 x2
Al1 0.360 0.250 0.719 x2
Al2 0.453 0.750 0.906 x2

Energy above the most stable polymorph in this dataset: 0.00 kJ/mol of atoms
Energy: -4.57 eV per atom
Energy of formation from the pure elements: -0.29 eV per atom

***

Record 3
A plane-wave DFT calculation with PBE was carried out for a geometry-optimized NdHo4Al3 structure.

Cell: 3.367 8.504 14.930 Å, 90.00 90.00 90.00°
Space group Immm (No. 71)
Symmetry-distinct sites (fractional):
Nd1 0.000 0.000 0.000 x2
Ho1 0.000 0.304 0.141 x8
Al1 0.000 0.000 0.500 x2
Al2 0.000 0.500 0.315 x4

Energy: -4.42 eV per atom
Energy of formation from the pure elements: -0.13 eV per atom

***

Record 4
A plane-wave DFT calculation with PBE was carried out for a geometry-optimized Nd3HoAl8 structure.

Cell: 5.6453 5.6453 27.7594 Å, 90.00 90.00 120.00°
Space group R3m (No. 160, hexagonal axes)
Symmetry-distinct sites (fractional):
Nd1 0.0000 0.0000 0.0000 x3
Nd2 0.0000 0.0000 0.1252 x3
Nd3 0.0000 0.0000 0.5003 x3
Ho1 0.0000 0.0000 0.6246 x3
Al1 0.0000 0.0000 0.3122 x3
Al2 0.0000 0.0000 0.8128 x3
Al3 0.0004 0.5002 0.5634 x9
Al4 0.1671 0.3342 0.3949 x9

Energy above the most stable polymorph in this dataset: 0.00 kJ/mol of atoms
Energy: -4.57 eV per atom
Energy of formation from the pure elements: -0.50 eV per atom

***

Record 5
A plane-wave DFT calculation with PBE was carried out for a geometry-optimized NdHo8Al2 structure.

Cell: 13.381 10.748 5.144 Å, 90.00 100.37 90.00°
Space group C2/m (No. 12)
Symmetry-distinct sites (fractional):
Nd1 0.000 0.000 0.000 x2
Ho1 0.083 0.500 0.288 x4
Ho2 0.103 0.263 0.775 x8
Ho3 0.234 0.000 0.113 x4
Al1 0.118 0.000 0.555 x4

Energy: -4.13 eV per atom
Energy of formation from the pure elements: 0.32 eV per atom

***

Record 6
A plane-wave DFT calculation with PBE was carried out for a geometry-optimized Nd3HoAl8 structure.

Cell: 5.6414 5.6414 9.2939 Å, 90.00 90.00 120.00°
Space group P3m1 (No. 156)
Symmetry-distinct sites (fractional):
Nd1 0.0000 0.0000 0.0000 x1
Nd2 0.0000 0.0000 0.3638 x1
Nd3 0.3333 0.6667 0.8628 x1
Ho1 0.3333 0.6667 0.4990 x1
Al1 0.0091 0.5045 0.1833 x3
Al2 0.3248 0.1624 0.6776 x3
Al3 0.6667 0.3333 0.4322 x1
Al4 0.6667 0.3333 0.9290 x1

Energy above the most stable polymorph in this dataset: 0.98 kJ/mol of atoms
Energy: -4.56 eV per atom
Energy of formation from the pure elements: -0.49 eV per atom

***

Record 7
A plane-wave DFT calculation with PBE was carried out for a geometry-optimized Nd3HoAl structure.

Cell: 13.317 3.678 12.590 Å, 90.00 95.87 90.00°
Space group C2/m (No. 12)
Symmetry-distinct sites (fractional):
Nd1 0.037 0.000 0.195 x4
Nd2 0.138 0.500 0.980 x4
Nd3 0.143 0.000 0.446 x4
Ho1 0.217 0.000 0.746 x4
Al1 0.052 0.500 0.620 x4

Energy above the most stable polymorph in this dataset: 0.00 kJ/mol of atoms
Energy: -4.64 eV per atom
Energy of formation from the pure elements: -0.12 eV per atom

***

Record 8
A plane-wave DFT calculation with PBE was carried out for a geometry-optimized NdHo5Al6 structure.

Cell: 5.093 7.230 8.053 Å, 90.00 108.28 90.00°
Space group P2/m (No. 10)
Symmetry-distinct sites (fractional):
Nd1 0.000 0.000 0.000 x1
Ho1 0.000 0.500 0.000 x1
Ho2 0.332 0.000 0.665 x2
Ho3 0.336 0.500 0.672 x2
Al1 0.170 0.256 0.339 x4
Al2 0.500 0.254 0.000 x2

Energy: -4.56 eV per atom
Energy of formation from the pure elements: -0.39 eV per atom

***

Record 9
A plane-wave DFT calculation with PBE was carried out for a geometry-optimized Nd4Ho5Al structure.

Cell: 3.587 3.587 24.222 Å, 90.00 90.00 90.00°
Space group P4/mmm (No. 123)
Symmetry-distinct sites (fractional):
Nd1 0.000 0.000 0.105 x2
Nd2 0.000 0.000 0.317 x2
Ho1 0.500 0.500 0.000 x1
Ho2 0.500 0.500 0.211 x2
Ho3 0.500 0.500 0.424 x2
Al1 0.000 0.000 0.500 x1

Energy above the most stable polymorph in this dataset: 0.00 kJ/mol of atoms
Energy: -4.63 eV per atom
Energy of formation from the pure elements: -0.06 eV per atom

***

Record 10
A plane-wave DFT calculation with PBE was carried out for a geometry-optimized Nd6HoAl2 structure.

Cell: 12.932 3.786 12.032 Å, 90.00 109.32 90.00°
Space group C2/m (No. 12)
Symmetry-distinct sites (fractional):
Nd1 0.027 0.000 0.325 x4
Nd2 0.184 0.500 0.877 x4
Nd3 0.190 0.500 0.593 x4
Ho1 0.000 0.000 0.000 x2
Al1 0.148 0.500 0.193 x4

Energy: -4.66 eV per atom
Energy of formation from the pure elements: -0.14 eV per atom

***

Record 11
A plane-wave DFT calculation with PBE was carried out for a geometry-optimized NdHoAl2 structure.

Cell: 3.658 3.658 7.289 Å, 90.00 90.00 90.00°
Space group P4/mmm (No. 123)
Symmetry-distinct sites (fractional):
Nd1 0.000 0.000 0.000 x1
Ho1 0.000 0.000 0.500 x1
Al1 0.500 0.500 0.266 x2

Energy above the most stable polymorph in this dataset: 0.00 kJ/mol of atoms
Energy: -4.59 eV per atom
Energy of formation from the pure elements: -0.38 eV per atom

***

Record 12
A plane-wave DFT calculation with PBE was carried out for a geometry-optimized Nd2Ho3Al4 structure.

Cell: 6.307 19.397 7.767 Å, 90.00 90.00 90.00°
Space group Cmce (No. 64)
Symmetry-distinct sites (fractional):
Nd1 0.000 0.088 0.102 x8
Ho1 0.000 0.000 0.500 x4
Ho2 0.250 0.249 0.750 x8
Al1 0.000 0.153 0.494 x8
Al2 0.250 0.086 0.750 x8

Energy: -4.46 eV per atom
Energy of formation from the pure elements: -0.21 eV per atom

***

Record 13
A plane-wave DFT calculation with PBE was carried out for a geometry-optimized Nd5HoAl6 structure.

Cell: 16.567 7.393 5.245 Å, 90.00 108.39 90.00°
Space group C2/m (No. 12)
Symmetry-distinct sites (fractional):
Nd1 0.000 0.000 0.000 x2
Nd2 0.163 0.000 0.663 x4
Nd3 0.173 0.500 0.672 x4
Ho1 0.000 0.500 0.000 x2
Al1 0.000 0.268 0.500 x4
Al2 0.163 0.259 0.163 x8

Energy: -4.60 eV per atom
Energy of formation from the pure elements: -0.36 eV per atom

***

Record 14
A plane-wave DFT calculation with PBE was carried out for a geometry-optimized Nd5HoAl2 structure.

Cell: 5.4322 5.4322 20.0755 Å, 90.00 90.00 120.00°
Space group P6_3/mmc (No. 194)
Symmetry-distinct sites (fractional):
Nd1 0.0000 0.0000 0.1552 x4
Nd2 0.3333 0.6667 0.0550 x4
Nd3 0.3333 0.6667 0.2500 x2
Ho1 0.3333 0.6667 0.7500 x2
Al1 0.3333 0.6667 0.6015 x4

Energy: -4.52 eV per atom
Energy of formation from the pure elements: -0.03 eV per atom

***

Record 15
A plane-wave DFT calculation with PBE was carried out for a geometry-optimized Nd6Ho2Al structure.

Cell: 10.364 10.364 5.457 Å, 90.00 90.00 90.00°
Space group P4_2/mnm (No. 136)
Symmetry-distinct sites (fractional):
Nd1 0.040 0.313 0.000 x8
Nd2 0.123 0.877 0.500 x4
Ho1 0.215 0.215 0.500 x4
Al1 0.000 0.000 0.000 x2

Energy: -4.62 eV per atom
Energy of formation from the pure elements: -0.01 eV per atom

***

Record 16
A plane-wave DFT calculation with PBE was carried out for a geometry-optimized Nd3HoAl4 structure.

Cell: 3.689 3.689 14.801 Å, 90.00 90.00 90.00°
Space group P4/mmm (No. 123)
Symmetry-distinct sites (fractional):
Nd1 0.000 0.000 0.000 x1
Nd2 0.000 0.000 0.256 x2
Ho1 0.000 0.000 0.500 x1
Al1 0.500 0.500 0.128 x2
Al2 0.500 0.500 0.386 x2

Energy: -4.60 eV per atom
Energy of formation from the pure elements: -0.36 eV per atom

***

Record 17
A plane-wave DFT calculation with PBE was carried out for a geometry-optimized Nd2HoAl6 structure.

Cell: 7.9641 7.9641 3.6266 Å, 90.00 90.00 120.00°
Space group P6/mmm (No. 191)
Symmetry-distinct sites (fractional):
Nd1 0.3333 0.6667 0.0000 x2
Ho1 0.0000 0.0000 0.0000 x1
Al1 0.0000 0.3309 0.5000 x6

Energy: -4.54 eV per atom
Energy of formation from the pure elements: -0.47 eV per atom

***

Record 18
A plane-wave DFT calculation with PBE was carried out for a geometry-optimized Nd5HoAl3 structure.

Cell: 9.2951 9.2951 6.8278 Å, 90.00 90.00 120.00°
Space group P6_3/mcm (No. 193)
Symmetry-distinct sites (fractional):
Nd1 0.0000 0.3356 0.2500 x6
Nd2 0.3333 0.6667 0.0000 x4
Ho1 0.0000 0.0000 0.0000 x2
Al1 0.0000 0.3262 0.7500 x6

Energy: -4.64 eV per atom
Energy of formation from the pure elements: -0.23 eV per atom

***

Record 19
A plane-wave DFT calculation with PBE was carried out for a geometry-optimized NdHo3Al2 structure.

Cell: 15.881 5.223 8.963 Å, 90.00 118.88 90.00°
Space group C2/m (No. 12)
Symmetry-distinct sites (fractional):
Nd1 0.131 0.000 0.182 x4
Ho1 0.062 0.000 0.716 x4
Ho2 0.117 0.500 0.531 x4
Ho3 0.187 0.500 0.992 x4
Al1 0.021 0.500 0.158 x4
Al2 0.231 0.000 0.601 x4

Energy above the most stable polymorph in this dataset: 6.83 kJ/mol of atoms
Energy: -4.52 eV per atom
Energy of formation from the pure elements: -0.19 eV per atom

***

Record 20
A plane-wave DFT calculation with PBE was carried out for a geometry-optimized Nd6Ho8Al structure.

Cell: 9.4896 9.4896 6.2577 Å, 90.00 90.00 120.00°
Space group P-3 (No. 147)
Symmetry-distinct sites (fractional):
Nd1 0.0902 0.4536 0.1937 x6
Ho1 0.0405 0.2566 0.7003 x6
Ho2 0.3333 0.6667 0.6880 x2
Al1 0.0000 0.0000 0.0000 x1

Energy: -4.52 eV per atom
Energy of formation from the pure elements: 0.08 eV per atom